No. 1
Compound: Li3DyHo2Sn3
Source: the Open Quantum Materials Database
Functional: PBE-GGA
Structure: optimized geometry

abc: 4.7142 4.7142 10.6915
angles: 90.00 90.00 120.00
Atoms (fractional coordinates):
Li1 0.0000 0.0000 0.0000
Li2 0.3333 0.6667 0.3105
Li3 0.3333 0.6667 0.6895
Dy1 0.6667 0.3333 0.5000
Ho1 0.6667 0.3333 0.1646
Ho2 0.6667 0.3333 0.8354
Sn1 0.0000 0.0000 0.3275
Sn2 0.0000 0.0000 0.6725
Sn3 0.3333 0.6667 0.0000

Computed properties:
Its total energy is -4.105 eV per atom.

---

No. 2
Compound: MgScU
Source: the Open Quantum Materials Database
Functional: PBE-GGA
Structure: optimized geometry

abc: 7.1178 7.1178 7.1178
angles: 90.00 90.00 90.00
Atoms (fractional coordinates):
Mg1 0.0000 0.0000 0.0000
Mg2 0.0000 0.5000 0.5000
Mg3 0.5000 0.0000 0.5000
Mg4 0.5000 0.5000 0.0000
Sc1 0.0000 0.0000 0.5000
Sc2 0.0000 0.5000 0.0000
Sc3 0.5000 0.0000 0.0000
Sc4 0.5000 0.5000 0.5000
U1 0.2500 0.2500 0.2500
U2 0.2500 0.7500 0.7500
U3 0.7500 0.2500 0.7500
U4 0.7500 0.7500 0.2500

Computed properties:
The excess energy over the best structure of this formula in the dataset is 76 kJ/mol of formula units.

---

No. 3
Compound: BaPmPr
Source: the Open Quantum Materials Database
Functional: PBE-GGA
Structure: optimized geometry

abc: 8.3656 8.3656 8.3656
angles: 90.00 90.00 90.00
Atoms (fractional coordinates):
Ba1 0.0000 0.0000 0.0000
Ba2 0.0000 0.5000 0.5000
Ba3 0.5000 0.0000 0.5000
Ba4 0.5000 0.5000 0.0000
Pm1 0.2500 0.2500 0.2500
Pm2 0.2500 0.7500 0.7500
Pm3 0.7500 0.2500 0.7500
Pm4 0.7500 0.7500 0.2500
Pr1 0.0000 0.0000 0.5000
Pr2 0.0000 0.5000 0.0000
Pr3 0.5000 0.0000 0.0000
Pr4 0.5000 0.5000 0.5000

Computed properties:
The excess energy over the best structure of this formula in the dataset is 0 kJ/mol of formula units.

---

No. 4
Compound: Si2TcB4
Source: the Open Quantum Materials Database
Functional: PBE-GGA
Structure: optimized geometry

abc: 7.9758 6.4651 2.6983
angles: 90.00 90.74 90.00
Atoms (fractional coordinates):
Si1 0.2500 0.2500 0.0000
Si2 0.2500 0.7500 0.0000
Si3 0.7500 0.2500 0.0000
Si4 0.7500 0.7500 0.0000
Tc1 0.0000 0.0000 0.5000
Tc2 0.5000 0.5000 0.5000
B1 0.0000 0.3580 0.5000
B2 0.0000 0.6420 0.5000
B3 0.1045 0.5000 0.0050
B4 0.3955 0.0000 0.9950
B5 0.5000 0.1420 0.5000
B6 0.5000 0.8580 0.5000
B7 0.6045 0.0000 0.0050
B8 0.8955 0.5000 0.9950

Computed properties:
Its total energy is -6.184 eV per atom.

---

No. 5
Compound: NaTaCuTe2S
Source: the Open Quantum Materials Database
Functional: PBE-GGA
Structure: optimized geometry

abc: 7.6425 7.6425 9.7714
angles: 90.00 90.00 151.37
Atoms (fractional coordinates):
Na1 0.2239 0.7761 0.7500
Na2 0.7761 0.2239 0.2500
Ta1 0.5000 0.5000 0.0000
Ta2 0.5000 0.5000 0.5000
Cu1 0.0253 0.9747 0.2500
Cu2 0.9747 0.0253 0.7500
Te1 0.1393 0.8607 0.0513
Te2 0.1393 0.8607 0.4487
Te3 0.8607 0.1393 0.5513
Te4 0.8607 0.1393 0.9487
S1 0.4391 0.5609 0.2500
S2 0.5609 0.4391 0.7500

Computed properties:
Its total energy is -5.016 eV per atom.